Entry 1:
# LaPrB2Pd2Pt6

LaPrB2Pd2Pt6 after structural relaxation (PBE, the Open Quantum Materials Database).

DFT total energy, eV/cell: -79.388
Magnetic moment, μB/f.u.: 0.01
Relative energy among the computed polymorphs, kJ/mol of atoms: 0.00

abc: 5.5135 5.5135 7.7059
angles: 90.00 90.00 120.00
Space group P6/mmm (No. 191)
Asymmetric unit:
La 0.0000 0.0000 0.0000 (multiplicity 1)
Pr 0.0000 0.0000 0.5000 (multiplicity 1)
B 0.3333 0.6667 0.5000 (multiplicity 2)
Pd 0.3333 0.6667 0.0000 (multiplicity 2)
Pt 0.0000 0.5000 0.3013 (multiplicity 6)

***

Entry 2:
# LaPrB2Pd2Pt6

LaPrB2Pd2Pt6 after structural relaxation (PBE, the Open Quantum Materials Database).

DFT total energy, eV/cell: -79.236
Magnetic moment, μB/f.u.: 0.01
Relative energy among the computed polymorphs, kJ/mol of atoms: 1.22

abc: 5.5159 5.5159 7.7085
angles: 90.00 90.00 120.00
Space group P6/mmm (No. 191)
Asymmetric unit:
La 0.0000 0.0000 0.0000 (multiplicity 1)
Pr 0.0000 0.0000 0.5000 (multiplicity 1)
B 0.3333 0.6667 0.0000 (multiplicity 2)
Pd 0.3333 0.6667 0.5000 (multiplicity 2)
Pt 0.0000 0.5000 0.1995 (multiplicity 6)

***

Entry 3:
# LaBPdPt3

LaBPdPt3 after structural relaxation (PBE, the Open Quantum Materials Database).

DFT total energy, eV/cell: -79.713
Magnetic moment, μB/f.u.: 0.00

abc: 5.5246 5.5246 7.7058
angles: 90.00 90.00 120.00
Space group P6/mmm (No. 191)
Asymmetric unit:
La 0.0000 0.0000 0.0000 (multiplicity 1)
La 0.0000 0.0000 0.5000 (multiplicity 1)
B 0.3333 0.6667 0.0000 (multiplicity 2)
Pd 0.3333 0.6667 0.5000 (multiplicity 2)
Pt 0.0000 0.5000 0.1993 (multiplicity 6)

***

Entry 4:
# LaPmB

LaPmB after structural relaxation (PBE, the Open Quantum Materials Database).

DFT total energy, eV/cell: -63.453
Magnetic moment, μB/f.u.: 0.04
Relative energy among the computed polymorphs, kJ/mol of atoms: 0.00

abc: 6.638 6.638 6.638
angles: 90.00 90.00 90.00
Space group F-43m (No. 216)
Asymmetric unit:
La 0.000 0.000 0.000 (multiplicity 4)
Pm 0.000 0.000 0.500 (multiplicity 4)
B 0.250 0.250 0.250 (multiplicity 4)

***

Entry 5:
# LaPrB4

LaPrB4 after structural relaxation (PBE, the Open Quantum Materials Database).

DFT total energy, eV/cell: -75.565
Magnetic moment, μB/f.u.: 0.00
Relative energy among the computed polymorphs, kJ/mol of atoms: 0.37

abc: 3.332 5.758 8.492
angles: 90.00 90.00 90.00
Space group Immm (No. 71)
Asymmetric unit:
La 0.000 0.000 0.000 (multiplicity 2)
Pr 0.000 0.000 0.500 (multiplicity 2)
B 0.000 0.334 0.250 (multiplicity 8)

***

Entry 6:
# LaPrB4

LaPrB4 after structural relaxation (PBE, the Open Quantum Materials Database).

DFT total energy, eV/cell: -37.806
Magnetic moment, μB/f.u.: 0.03
Relative energy among the computed polymorphs, kJ/mol of atoms: 0.00

abc: 3.3309 3.3309 8.4793
angles: 90.00 90.00 120.00
Space group P6/mmm (No. 191)
Asymmetric unit:
La 0.0000 0.0000 0.0000 (multiplicity 1)
Pr 0.0000 0.0000 0.5000 (multiplicity 1)
B 0.3333 0.6667 0.2533 (multiplicity 4)

***

Entry 7:
# LaPrB

LaPrB after structural relaxation (PBE, the Open Quantum Materials Database).

DFT total energy, eV/cell: -63.358
Magnetic moment, μB/f.u.: 0.09
Relative energy among the computed polymorphs, kJ/mol of atoms: 0.00

abc: 6.694 6.694 6.694
angles: 90.00 90.00 90.00
Space group F-43m (No. 216)
Asymmetric unit:
La 0.000 0.000 0.000 (multiplicity 4)
Pr 0.000 0.000 0.500 (multiplicity 4)
B 0.250 0.250 0.250 (multiplicity 4)

***

Entry 8:
# LaB4Pt

LaB4Pt after structural relaxation (PBE, the Open Quantum Materials Database).

DFT total energy, eV/cell: -75.191
Magnetic moment, μB/f.u.: 0.00
Relative energy among the computed polymorphs, kJ/mol of atoms: 1.90

abc: 3.145 5.319 8.565
angles: 90.00 90.00 90.00
Space group Immm (No. 71)
Asymmetric unit:
La 0.000 0.000 0.000 (multiplicity 2)
B 0.000 0.325 0.256 (multiplicity 8)
Pt 0.000 0.000 0.500 (multiplicity 2)

***

Entry 9:
# LaB4Pt

LaB4Pt after structural relaxation (PBE, the Open Quantum Materials Database).

DFT total energy, eV/cell: -37.713
Magnetic moment, μB/f.u.: 0.01
Relative energy among the computed polymorphs, kJ/mol of atoms: 0.00

abc: 3.2511 3.2511 7.3479
angles: 90.00 90.00 120.00
Space group P6/mmm (No. 191)
Asymmetric unit:
La 0.0000 0.0000 0.0000 (multiplicity 1)
B 0.3333 0.6667 0.2872 (multiplicity 4)
Pt 0.0000 0.0000 0.5000 (multiplicity 1)

***

Entry 10:
# LaBPt

LaBPt after structural relaxation (PBE, the Open Quantum Materials Database).

DFT total energy, eV/cell: -63.171
Magnetic moment, μB/f.u.: 0.00
Relative energy among the computed polymorphs, kJ/mol of atoms: 38.92

abc: 6.591 6.591 6.591
angles: 90.00 90.00 90.00
Space group F-43m (No. 216)
Asymmetric unit:
La 0.000 0.000 0.000 (multiplicity 4)
B 0.250 0.250 0.250 (multiplicity 4)
Pt 0.250 0.250 0.750 (multiplicity 4)

***

Entry 11:
# LaBPt

LaBPt after structural relaxation (PBE, the Open Quantum Materials Database).

DFT total energy, eV/cell: -68.012
Magnetic moment, μB/f.u.: 0.33
Relative energy among the computed polymorphs, kJ/mol of atoms: 0.00

abc: 6.420 6.420 6.420
angles: 90.00 90.00 90.00
Space group F-43m (No. 216)
Asymmetric unit:
La 0.000 0.000 0.000 (multiplicity 4)
B 0.000 0.000 0.500 (multiplicity 4)
Pt 0.250 0.250 0.750 (multiplicity 4)

***

Entry 12:
# SrLaB2Pt8

SrLaB2Pt8 after structural relaxation (PBE, the Open Quantum Materials Database).

DFT total energy, eV/cell: -77.084
Magnetic moment, μB/f.u.: 0.01
Relative energy among the computed polymorphs, kJ/mol of atoms: 2.89

abc: 5.5621 5.5621 7.6596
angles: 90.00 90.00 120.00
Space group P6/mmm (No. 191)
Asymmetric unit:
Sr 0.0000 0.0000 0.0000 (multiplicity 1)
La 0.0000 0.0000 0.5000 (multiplicity 1)
B 0.3333 0.6667 0.5000 (multiplicity 2)
Pt 0.0000 0.5000 0.3017 (multiplicity 6)
Pt 0.3333 0.6667 0.0000 (multiplicity 2)

***

Entry 13:
# SrLaB2Pt8

SrLaB2Pt8 after structural relaxation (PBE, the Open Quantum Materials Database).

DFT total energy, eV/cell: -77.444
Magnetic moment, μB/f.u.: 0.00
Relative energy among the computed polymorphs, kJ/mol of atoms: 0.00

abc: 5.5467 5.5467 7.6413
angles: 90.00 90.00 120.00
Space group P6/mmm (No. 191)
Asymmetric unit:
Sr 0.0000 0.0000 0.0000 (multiplicity 1)
La 0.0000 0.0000 0.5000 (multiplicity 1)
B 0.3333 0.6667 0.0000 (multiplicity 2)
Pt 0.0000 0.5000 0.1982 (multiplicity 6)
Pt 0.3333 0.6667 0.5000 (multiplicity 2)